(1)
Cs6K9Pt, relaxed, DFT GGA-PBE; raw total energy = -1.326 eV/atom; DFT formation energy = -0.011 eV per atom; symmetry = No. 87; calculated volume = 78.80 Å³ per atom
1.0
-5.456 5.456 10.589
5.456 -5.456 10.589
5.456 5.456 -10.589
Cs K Pt
6 9 1
Cartesian
3.165 1.123 0.000
0.000 0.000 3.344
4.333 -2.291 10.589
1.123 7.747 0.000
0.000 0.000 17.834
2.291 4.333 10.589
6.312 2.260 -3.697
2.260 4.600 -3.697
6.312 2.260 3.697
3.196 0.856 6.892
0.000 0.000 10.589
2.260 4.600 3.697
-0.856 3.196 6.892
3.196 0.856 14.286
-0.856 3.196 14.286
0.000 0.000 0.000


(2)
V6Tc5W, relaxed, DFT GGA-PBE; raw total energy = -10.283 eV/atom; DFT formation energy = -0.326 eV per atom; symmetry = No. 71; calculated volume = 13.99 Å³ per atom
1.0
-2.143 3.040 6.445
2.143 -3.040 6.445
2.143 3.040 -6.445
V Tc W
6 5 1
Cartesian
2.143 1.514 -2.157
0.000 1.507 0.000
2.143 1.514 2.157
0.000 1.525 4.288
0.000 4.572 0.000
0.000 1.525 8.601
2.143 0.000 0.000
0.000 0.000 2.153
2.143 0.000 4.286
0.000 3.040 2.158
0.000 0.000 10.737
0.000 0.000 6.445


(3)
BaSi, relaxed, DFT GGA-PBE; raw total energy = -4.007 eV/atom; symmetry = No. 51; raw formation energy = -0.334 eV per atom; calculated volume = 40.88 Å³ per atom
1.0
4.058 0.000 0.000
0.000 4.584 0.000
0.000 0.000 8.789
Ba Si
2 2
Cartesian
1.014 0.000 1.968
3.043 0.000 6.821
1.014 2.292 8.129
3.043 2.292 0.660


(4)
ZnGe2W, relaxed, DFT GGA-PBE; raw total energy = -4.978 eV/atom; DFT formation energy = 0.888 eV per atom; symmetry = No. 122; calculated volume = 23.89 Å³ per atom
1.0
-2.976 2.976 5.395
2.976 -2.976 5.395
2.976 2.976 -5.395
Zn Ge W
2 4 2
Cartesian
0.000 0.000 0.000
0.000 2.976 2.697
1.488 -1.413 4.046
1.563 1.488 1.349
1.488 4.389 -1.349
1.413 1.488 6.743
2.976 0.000 2.697
0.000 0.000 5.395


(5)
CdSi2NiB, relaxed, DFT GGA-PBE; raw total energy = -4.346 eV/atom; symmetry = No. 123; raw formation energy = 0.498 eV per atom; calculated volume = 14.52 Å³ per atom
1.0
4.271 0.000 0.000
0.000 4.271 0.000
0.000 0.000 3.980
Cd Si Ni B
1 2 1 1
Cartesian
0.000 0.000 0.000
0.000 2.135 1.990
2.135 0.000 1.990
2.135 2.135 0.000
2.135 2.135 1.990


(6)
ScReSn2H, relaxed, DFT GGA-PBE; raw total energy = -4.395 eV/atom; symmetry = No. 123; calculated volume = 29.51 Å³ per atom
1.0
5.533 0.000 0.000
0.000 5.533 0.000
0.000 0.000 4.820
Sc Re Sn H
1 1 2 1
Cartesian
0.000 0.000 0.000
0.000 0.000 2.410
0.000 2.766 0.000
2.766 0.000 0.000
2.766 2.766 2.410